Record 1
Computed, not measured: a relaxed structure of LiCoSe3 at the PBE level of DFT.

Energy relative to the elements, uncorrected: 0 kJ/mol of formula units
Density: 4645 kg/m³
D(E_F): 4.7 states/eV/cell
DFT total energy: -3.894 eV per atom

Cell lengths 4.766, 4.766, 4.766 Å; angles 90.00, 90.00, 90.00 degrees
Site moments in Bohr magnetons follow the coordinates.
Fractional positions:
Se 0.000 0.500 0.000  0.16
Li 0.500 0.500 0.500  0.00
Se 0.500 0.000 0.000  0.28
Se 0.000 0.000 0.500  0.07
Co 0.000 0.000 0.000  0.96

Record 2
Computed, not measured: a relaxed structure of Mo2PCl at the PBE level of DFT.

Energy relative to the elements, uncorrected: -34 kJ/mol of formula units
Density: 6331 kg/m³
D(E_F): 3.0 states/eV/cell
DFT total energy: -7.317 eV per atom

Cell lengths 3.158, 3.169, 6.770 Å; angles 89.97, 90.00, 90.00 degrees
Fractional positions:
Cl 0.500 0.750 0.750
P 0.500 0.250 0.250
Mo 0.000 0.750 0.429
Mo 0.000 0.750 0.071

Record 3
Computed, not measured: a relaxed structure of RbPaCu2F8 at the PBE level of DFT.

Energy relative to the elements, uncorrected: -2990 kJ/mol of formula units
Density: 4884 kg/m³
D(E_F): 6.2 states/eV/cell
DFT total energy: -5.385 eV per atom

Cell lengths 5.207, 5.207, 9.132 Å; angles 73.43, 73.43, 60.00 degrees
Site moments in Bohr magnetons follow the coordinates.
Fractional positions:
Rb 0.000 0.000 0.000  0.00
F 0.656 0.656 0.033  0.01
F 0.247 0.894 0.346  0.00
F 0.106 0.753 0.654  0.00
F 0.894 0.514 0.346  0.00
F 0.486 0.106 0.654  0.00
Cu 0.727 0.727 0.818  0.11
Cu 0.273 0.273 0.182  0.11
F 0.344 0.344 0.967  0.01
F 0.514 0.247 0.346  0.00
Pa 0.500 0.500 0.500  -0.07
F 0.753 0.486 0.654  0.00

Record 4
Computed, not measured: a relaxed structure of Sm2HoSi2 at the PBE level of DFT.

Energy relative to the elements, uncorrected: -301 kJ/mol of formula units
Density: 6856 kg/m³
D(E_F): 6.7 states/eV/cell
DFT total energy: -5.596 eV per atom

Cell lengths 4.330, 6.534, 9.817 Å; angles 77.94, 77.26, 70.65 degrees
Fractional positions:
Ho 0.224 0.918 0.635
Si 0.986 0.133 0.894
Sm 0.516 0.657 0.312
Sm 0.321 0.269 0.090
Sm 0.679 0.731 0.910
Ho 0.776 0.082 0.365
Sm 0.484 0.343 0.688
Si 0.014 0.867 0.106
Si 0.890 0.664 0.556
Si 0.110 0.336 0.444

Record 5
Computed, not measured: a relaxed structure of CdPH at the PBE level of DFT.

Density: 4728 kg/m³
D(E_F): 2.2 states/eV/cell
DFT total energy: -2.954 eV per atom

Cell lengths 6.856, 3.839, 3.854 Å; angles 90.00, 90.17, 90.00 degrees
Fractional positions:
H 0.582 0.000 0.970
Cd 0.936 0.000 0.960
P 0.370 0.500 0.470
Cd 0.936 0.500 0.460
P 0.370 0.000 0.970
H 0.582 0.500 0.470

Record 6
Computed, not measured: a relaxed structure of Cs2Ba3F8 at the PBE level of DFT.

Energy relative to the elements, uncorrected: -4310 kJ/mol of formula units
Density: 3877 kg/m³
D(E_F): 0.0 states/eV/cell
DFT total energy: -5.163 eV per atom

Cell lengths 4.277, 8.162, 10.759 Å; angles 71.14, 90.00, 90.00 degrees
Site moments in Bohr magnetons follow the coordinates.
Fractional positions:
F 0.000 0.399 0.403  0.02
F 0.000 0.954 0.866  0.00
F 0.500 0.125 0.597  0.08
F 0.500 0.875 0.403  0.08
Ba 0.000 0.267 0.661  0.00
Ba 0.000 0.733 0.339  0.00
F 0.000 0.046 0.134  0.00
F 0.500 0.705 0.188  0.03
F 0.500 0.295 0.812  0.03
F 0.000 0.601 0.597  0.02
Cs 0.500 0.253 0.298  0.00
Cs 0.500 0.747 0.702  0.00
Ba 0.500 0.000 0.000  0.00

Record 7
Computed, not measured: a relaxed structure of CdIn2Cu at the PBE level of DFT.

Density: 7888 kg/m³
D(E_F): 1.5 states/eV/cell
ΔH_f (0 K): 160 meV per atom
DFT total energy: -2.462 eV per atom

Cell lengths 5.390, 5.390, 5.390 Å; angles 131.75, 131.75, 70.62 degrees
Fractional positions:
In 0.500 0.500 0.000
Cu 0.750 0.250 0.500
In 0.000 0.000 0.000
Cd 0.250 0.750 0.500

Record 8
Computed, not measured: a relaxed structure of TmThInGa at the PBE level of DFT.

Density: 9404 kg/m³
D(E_F): 4.2 states/eV/cell
ΔH_f (0 K): -349 meV per atom
DFT total energy: -4.763 eV per atom

Cell lengths 5.268, 5.268, 5.268 Å; angles 60.00, 60.00, 60.00 degrees
Fractional positions:
In 0.250 0.250 0.250
Th 0.000 0.000 0.000
Ga 0.750 0.750 0.750
Tm 0.500 0.500 0.500